# 1
First-principles (PBE) data for a relaxed structure of Tl4PbSe3, as listed in Alexandria.

Structure (POSCAR):
```
Tl4PbSe3
1.0
-4.8429 -7.0511 0.7257
3.9084 -1.9230 7.3976
-9.1371 6.9586 6.6363
Pb Se Tl
4 12 16
Direct
0.2500 0.2500 0.2890 Pb
0.7500 0.7500 0.2110 Pb
0.7500 0.7500 0.7110 Pb
0.2500 0.2500 0.7890 Pb
0.2500 0.2500 0.0040 Se
0.7500 0.7500 0.4960 Se
0.7500 0.7500 0.9960 Se
0.2500 0.2500 0.5040 Se
0.4210 0.5790 0.2500 Se
0.0790 0.9210 0.2500 Se
0.9210 0.4210 0.2500 Se
0.5790 0.0790 0.2500 Se
0.5790 0.4210 0.7500 Se
0.9210 0.0790 0.7500 Se
0.0790 0.5790 0.7500 Se
0.4210 0.9210 0.7500 Se
0.1334 0.5780 0.0971 Tl
0.3666 0.9220 0.0971 Tl
0.9220 0.1334 0.0971 Tl
0.5780 0.3666 0.0971 Tl
0.8666 0.0780 0.4029 Tl
0.6334 0.4220 0.4029 Tl
0.0780 0.6334 0.4029 Tl
0.4220 0.8666 0.4029 Tl
0.8666 0.4220 0.9029 Tl
0.6334 0.0780 0.9029 Tl
0.0780 0.8666 0.9029 Tl
0.4220 0.6334 0.9029 Tl
0.1334 0.9220 0.5971 Tl
0.3666 0.5780 0.5971 Tl
0.9220 0.3666 0.5971 Tl
0.5780 0.1334 0.5971 Tl
```

## Properties
excess energy over the best structure of this formula in the dataset = 0 meV per atom
total magnetization = 0.0 μB per cell
formation energy (no corrections) = -0.4054 eV/atom

# 2
First-principles (PBE) data for a relaxed structure of Tl4PbSe3, as listed in Alexandria.

Structure (POSCAR):
```
Tl4PbSe3
1.0
8.8542 0.0138 0.0000
0.5593 8.8365 0.0000
-4.7067 -4.4252 6.0549
Pb Se Tl
2 6 8
Direct
0.0000 0.0000 0.0000 Pb
0.5000 0.5000 0.0000 Pb
0.2500 0.2500 0.0000 Se
0.7500 0.7500 0.0000 Se
0.6654 0.8346 0.5000 Se
0.3346 0.1654 0.5000 Se
0.8346 0.3346 0.1692 Se
0.1654 0.6654 0.8308 Se
0.0070 0.8037 0.5000 Tl
0.3037 0.5070 0.5000 Tl
0.8037 0.3037 0.7968 Tl
0.5070 0.0070 0.2032 Tl
0.4930 0.9930 0.7968 Tl
0.1963 0.6963 0.2032 Tl
0.6963 0.4930 0.5000 Tl
0.9930 0.1963 0.5000 Tl
```

## Properties
excess energy over the best structure of this formula in the dataset = 13 meV per atom
total magnetization = 0.0 μB per cell
formation energy (no corrections) = -0.3923 eV/atom

# 3
First-principles (PBE) data for a relaxed structure of TlPbSe, as listed in Alexandria.

Structure (POSCAR):
```
TlPbSe
1.0
-1.3948 3.7202 -1.2918
0.6654 -3.7677 -4.8131
-8.0097 -0.5509 7.0621
Tl Pb Se
2 2 2
Direct
0.0329 0.0659 0.3414 Tl
0.9671 0.9341 0.6586 Tl
0.8293 0.6586 0.9179 Pb
0.1707 0.3414 0.0821 Pb
0.7192 0.4384 0.2936 Se
0.2808 0.5616 0.7064 Se
```

## Properties
excess energy over the best structure of this formula in the dataset = 0 meV per atom
total magnetization = 0.0 μB per cell
formation energy (no corrections) = -0.2609 eV/atom

# 4
First-principles (PBE) data for a relaxed structure of TlPb2Se2, as listed in Alexandria.

Structure (POSCAR):
```
TlPb2Se2
1.0
4.9188 0.0000 0.0000
0.0000 4.9188 0.0000
2.4594 2.4594 7.0617
Pb Tl Se
2 1 2
Direct
0.7500 0.2500 0.5000 Pb
0.2500 0.7500 0.5000 Pb
0.0000 0.0000 0.0000 Tl
0.3810 0.3810 0.2380 Se
0.6190 0.6190 0.7620 Se
```

## Properties
excess energy over the best structure of this formula in the dataset = 160 meV per atom
total magnetization = 0.0 μB per cell
formation energy (no corrections) = -0.1577 eV/atom